A relaxed AlWCl crystal, computed with GGA-PBE.

a = 2.7877 Å, b = 3.9225 Å, c = 9.0508 Å
α = 90.00°, β = 90.00°, γ = 90.00°
Space group Imm2 (No. 44)
One atom of each set of equivalent atoms:
Al 0.0000 0.0000 0.0000
W 0.0000 0.0000 0.3224
Cl 0.0000 0.0000 0.7016

Total DFT energy (no corrections)   -5.591 eV/atom
Uncorrected formation energy   171 kJ/mol of formula units
Energy above the lowest structure with this stoichiometry   1.23 eV per formula unit
Calculated volume   99 Å³ per cell